# 1
ZrAg2Pt | PBE-GGA | relaxed

## Properties
Total magnetic moment = 0.01 μB per cell
Calculated volume = 17.98 A^3/atom
Energy of formation from the pure elements = -1.4 eV per formula unit
E = -5.404 eV/atom
SG = F-43m (216)

abc: 4.6680 4.6680 4.6680
angles: 60.00 60.00 60.00
With the nearest neighbours (Å) after each atom.
Fractional positions:
Zr1 0.0000 0.0000 0.0000  4 Pt 2.86, 4 Ag 2.86
Ag1 0.2500 0.2500 0.2500  4 Zr 2.86, 4 Ag 2.86
Ag2 0.5000 0.5000 0.5000  4 Pt 2.86, 4 Ag 2.86
Pt1 0.7500 0.7500 0.7500  4 Zr 2.86, 4 Ag 2.86

---

# 2
ZrAgPt | PBE-GGA | relaxed

## Properties
Total magnetic moment = 0.00 μB per cell
Calculated volume = 21.43 A^3/atom
Energy of formation from the pure elements = -1.1 eV per formula unit
E = -6.169 eV/atom
SG = F-43m (216)
E above lowest polymorph = 0.00 kJ/mol of atoms

abc: 4.4964 4.4964 4.4964
angles: 60.00 60.00 60.00
With the nearest neighbours (Å) after each atom.
Fractional positions:
Zr1 0.0000 0.0000 0.0000  4 Pt 2.75
Ag1 0.5000 0.5000 0.5000  4 Pt 2.75
Pt1 0.7500 0.7500 0.7500  4 Ag 2.75, 4 Zr 2.75

---

# 3
Zr4AgPt | PBE-GGA | relaxed

## Properties
Total magnetic moment = 0.01 μB per cell
Calculated volume = 20.90 A^3/atom
Energy of formation from the pure elements = -2.5 eV per formula unit
E = -7.590 eV/atom
SG = P4/mmm (123)

abc: 3.3384 3.3384 11.2507
angles: 90.00 90.00 90.00
With the nearest neighbours (Å) after each atom.
Fractional positions:
Zr1 0.0000 0.0000 0.1492  4 Pt 2.90, 4 Zr 3.12
Zr2 0.0000 0.0000 0.8508  4 Pt 2.90, 4 Zr 3.12
Zr3 0.5000 0.5000 0.3311  4 Ag 3.03, 8 Zr 3.12-3.34
Zr4 0.5000 0.5000 0.6689  4 Ag 3.03, 8 Zr 3.12-3.34
Ag1 0.0000 0.0000 0.5000  8 Zr 3.03, 4 Ag 3.34
Pt1 0.5000 0.5000 0.0000  8 Zr 2.90

---

# 4
Zr2AgPt2 | PBE-GGA | relaxed

## Properties
Total magnetic moment = 0.01 μB per cell
Calculated volume = 19.37 A^3/atom
Energy of formation from the pure elements = -4.0 eV per formula unit
E = -7.204 eV/atom
SG = P4/mbm (127)

abc: 7.6290 7.6290 3.3287
angles: 90.00 90.00 90.00
With the nearest neighbours (Å) after each atom.
Fractional positions:
Zr1 0.1672 0.3328 0.0000  6 Pt 2.73-2.84
Zr2 0.3328 0.8328 0.0000  6 Pt 2.73-2.84
Zr3 0.6672 0.1672 0.0000  6 Pt 2.73-2.84
Zr4 0.8328 0.6672 0.0000  6 Pt 2.73-2.84
Ag1 0.0000 0.0000 0.5000  4 Pt 2.98, 8 Zr 3.29, 2 Ag 3.33
Ag2 0.5000 0.5000 0.5000  4 Pt 2.98, 8 Zr 3.29, 2 Ag 3.33
Pt1 0.1321 0.6321 0.5000  6 Zr 2.73-2.84, 1 Pt 2.85, 2 Ag 2.98
Pt2 0.3679 0.1321 0.5000  6 Zr 2.73-2.84, 1 Pt 2.85, 2 Ag 2.98
Pt3 0.6321 0.8679 0.5000  6 Zr 2.73-2.84, 1 Pt 2.85, 2 Ag 2.98
Pt4 0.8679 0.3679 0.5000  6 Zr 2.73-2.84, 1 Pt 2.85, 2 Ag 2.98